No. 1
Entry from the Alexandria database: a relaxed Ti2NiO5 crystal (GGA+U).

Output
N(E_F), states/eV/f.u.: 0.000
Size of the total moment, μB per cell: 4.018
E, eV/atom: -7.93

Cell lengths 3.8021, 5.2078, 10.0669 Å; angles 90.00, 90.00, 111.41 degrees
With the nearest neighbours (Å) after each atom.
Positions (direct):
O 0.3154 0.6308 0.0628  3 Ti 1.96-2.19
O 0.0465 0.0930 0.3870  2 Ti 1.82-2.01, 1 Ni 1.99
O 0.2224 0.4447 0.7500  2 Ti 2.02, 2 Ni 2.06
O 0.7776 0.5553 0.2500  2 Ti 2.02, 2 Ni 2.06
O 0.9535 0.9070 0.6130  2 Ti 1.82-2.01, 1 Ni 1.99
O 0.3154 0.6308 0.4372  3 Ti 1.96-2.19
O 0.6846 0.3692 0.9372  3 Ti 1.96-2.19
O 0.6846 0.3692 0.5628  3 Ti 1.96-2.19
O 0.0465 0.0930 0.1130  2 Ti 1.82-2.01, 1 Ni 1.99
O 0.9535 0.9070 0.8870  2 Ti 1.82-2.01, 1 Ni 1.99
Ti 0.8653 0.7305 0.0680  5 O 1.82-2.02
Ti 0.1347 0.2695 0.5680  5 O 1.82-2.02
Ti 0.8653 0.7305 0.4320  5 O 1.82-2.02
Ti 0.1347 0.2695 0.9320  5 O 1.82-2.02
Ni 0.8054 0.6108 0.7500  6 O 1.99-2.22
Ni 0.1946 0.3892 0.2500  6 O 1.99-2.22

=====

No. 2
Entry from the Alexandria database: a relaxed LiMn2B2O6 crystal (GGA+U).

Output
Energy relative to the lowest polymorph listed for this composition, meV/atom: 14
N(E_F), states/eV/f.u.: 2.119
Size of the total moment, μB per cell: 18.000
E, eV/atom: -7.49

Cell lengths 5.3224, 5.8084, 9.1308 Å; angles 102.38, 90.91, 114.34 degrees
With the nearest neighbours (Å) after each atom.
Positions (direct):
Mn 0.2842 0.2552 0.0506  5 O 2.01-2.10
Mn 0.2147 0.7508 0.4378  5 O 2.04-2.18
Mn 0.7158 0.7448 0.9494  5 O 2.01-2.10
Mn 0.7853 0.2492 0.5622  5 O 2.04-2.18
O 0.3639 0.1476 0.4882  1 B 1.40
O 0.9141 0.6564 0.6007  1 B 1.41
O 0.3920 0.6415 0.0773  1 B 1.39
O 0.1436 0.8551 0.9935  1 B 1.42
O 0.4427 0.2771 0.2572  1 B 1.36
O 0.9573 0.2993 0.7769  1 B 1.35
O 0.0859 0.3436 0.3993  1 B 1.41
O 0.5573 0.7229 0.7428  1 B 1.36
O 0.6361 0.8524 0.5118  1 B 1.40
O 0.8564 0.1449 0.0065  1 B 1.42
O 0.6080 0.3585 0.9227  1 B 1.39
O 0.0427 0.7007 0.2231  1 B 1.35
B 0.2962 0.2545 0.3785  3 O 1.36-1.41
B 0.7038 0.7455 0.6215  3 O 1.36-1.41
B 0.1957 0.7395 0.1061  3 O 1.35-1.42
B 0.8043 0.2605 0.8939  3 O 1.35-1.42
Li 0.8129 0.3298 0.2193  4 O 1.91-2.14
Li 0.1871 0.6702 0.7807  4 O 1.91-2.14